# 1
Computed, not measured: crystalline Ba2MgSi2O7 at its relaxed geometry at the PBE level of DFT.

- symmetry = C2/c
- E (eV/atom) = -7.2042
- crystal system = monoclinic

Cell lengths 6.9118, 6.9118, 8.5609 Å; angles 77.41, 77.41, 103.82 degrees
Last column: nearest neighbours and their distance in Å.
Positions (direct):
1 O 0.2424 0.9764 0.3676  1 Si 1.62
2 O 0.7576 0.0236 0.6324  1 Si 1.62
3 Si 0.3960 0.8314 0.3633  4 O 1.62-1.69
4 Ba 0.8154 0.7300 0.4751  8 O 2.73-2.98
5 O 0.0236 0.7576 0.1324  1 Si 1.62
6 O 0.3794 0.6772 0.5447  1 Si 1.64
7 Ba 0.1846 0.2700 0.5249  8 O 2.73-2.98
8 Si 0.6040 0.1686 0.6367  4 O 1.62-1.69
9 O 0.6772 0.3794 0.0447  1 Si 1.64
10 Si 0.1686 0.6040 0.1367  4 O 1.62-1.69
11 Si 0.8314 0.3960 0.8633  4 O 1.62-1.69
12 Mg 0.2578 0.7422 0.7500  4 O 1.97-1.98
13 O 0.3571 0.0419 0.7316  1 Si 1.65
14 O 0.6429 0.9581 0.2684  1 Si 1.65
15 Mg 0.7422 0.2578 0.2500  4 O 1.97-1.98
16 Ba 0.2700 0.1846 0.0249  8 O 2.73-2.98
17 O 0.0419 0.3571 0.2316  1 Si 1.65
18 O 0.6656 0.3344 0.7500  2 Si 1.69
19 O 0.3228 0.6206 0.9553  1 Si 1.64
20 O 0.9764 0.2424 0.8676  1 Si 1.62
21 O 0.3344 0.6656 0.2500  2 Si 1.69
22 Ba 0.7300 0.8154 0.9751  8 O 2.73-2.98
23 O 0.9581 0.6429 0.7684  1 Si 1.65
24 O 0.6206 0.3228 0.4553  1 Si 1.64

***

# 2
Computed, not measured: crystalline BaMg2SiO at its relaxed geometry at the PBE level of DFT.

- symmetry = P4/mmm
- E (eV/atom) = -3.4836
- crystal system = tetragonal

Cell lengths 4.4436, 5.9738, 4.4436 Å; angles 90.00, 90.00, 90.00 degrees
Last column: nearest neighbours and their distance in Å.
Positions (direct):
1 O 0.0000 0.0000 0.0000  4 Mg 2.22
2 Mg 0.5000 0.0000 0.0000  2 O 2.22
3 Ba 0.5000 0.5000 0.5000  4 Si 3.14
4 Si 0.0000 0.5000 0.0000  2 O 2.99, 4 Ba 3.14
5 Mg 0.0000 0.0000 0.5000  2 O 2.22